# CeZrAu4 PBE optimized geometry
data_CeZrAu4
_chemical_formula_sum 'Ce1 Zr1 Au4'
_space_group_name_H-M_alt 'P 4/m m m'
_space_group_IT_number 123
_space_group_name_Hall '-P 4 2'
_cell_length_a 3.690
_cell_length_b 3.690
_cell_length_c 9.224
_cell_angle_alpha 90.00
_cell_angle_beta 90.00
_cell_angle_gamma 90.00
loop_
_atom_site_label
_atom_site_type_symbol
_atom_site_fract_x
_atom_site_fract_y
_atom_site_fract_z
Ce1 Ce 0.000 0.000 0.000
Zr1 Zr 0.500 0.500 0.500
Au1 Au 0.000 0.000 0.343
Au2 Au 0.500 0.500 0.183
# E_form (meV per atom): -592
# Density of states at the Fermi level (states/eV/f.u.): 6.42
# Mass density (g/cm3): 13.48